(1)
A plane-wave DFT calculation with PBEsol was carried out for crystalline BaCrRu3 at its relaxed geometry.

Properties
* DFT formation energy: 0.9530 eV/atom
* Fermi-level density of states: 4.16 states/eV per cell
* uncorrected energy: -7.63 eV per atom

a b c (Å): 4.539 4.539 4.539
angles (deg): 90.00 90.00 90.00
Positions (direct):
Ru  0.000  0.500  0.000
Ru  0.000  0.000  0.500
Ru  0.500  0.000  0.000
Ba  0.500  0.500  0.500
Cr  0.000  0.000  0.000

***

(2)
A plane-wave DFT calculation with PBEsol was carried out for crystalline CoBiF2 at its relaxed geometry.

Properties
* Fermi-level density of states: 4.53 states/eV per cell
* formation energy without anion corrections: -857 meV per atom
* uncorrected energy: -4.83 eV per atom

a b c (Å): 3.138 3.138 8.063
angles (deg): 78.78 78.78 60.00
Site moments in Bohr magnetons follow the coordinates.
Positions (direct):
Co  0.000  0.000  0.000  2.11
Bi  0.500  0.500  0.500  -0.02
F  0.924  0.924  0.229  0.06
F  0.076  0.076  0.771  0.06

***

(3)
A plane-wave DFT calculation with PBEsol was carried out for crystalline Ca2Mg2Zn at its relaxed geometry.

Properties
* DFT formation energy: -0.1106 eV/atom
* Fermi-level density of states: 2.83 states/eV per cell
* uncorrected energy: -1.97 eV per atom

a b c (Å): 5.275 5.275 6.223
angles (deg): 64.92 64.92 60.00
Positions (direct):
Mg  0.171  0.171  0.488
Mg  0.829  0.829  0.512
Ca  0.390  0.390  0.831
Ca  0.610  0.610  0.169
Zn  0.000  0.000  0.000

***

(4)
A plane-wave DFT calculation with PBEsol was carried out for crystalline PBr2N at its relaxed geometry.

Properties
* Fermi-level density of states: 0.00 states/eV per cell
* formation energy without anion corrections: -334 meV per atom
* uncorrected energy: -4.85 eV per atom

a b c (Å): 6.659 13.664 14.669
angles (deg): 90.00 90.00 90.00
Positions (direct):
Br  0.383  0.250  0.318
Br  0.883  0.750  0.182
Br  0.617  0.750  0.682
Br  0.117  0.250  0.818
Br  0.870  0.250  0.392
Br  0.370  0.750  0.108
Br  0.130  0.750  0.608
Br  0.630  0.250  0.892
Br  0.133  0.072  0.585
Br  0.633  0.928  0.915
Br  0.867  0.572  0.415
Br  0.367  0.428  0.085
Br  0.867  0.928  0.415
Br  0.367  0.072  0.085
Br  0.133  0.428  0.585
Br  0.633  0.572  0.915
Br  0.595  0.053  0.684
Br  0.095  0.947  0.816
Br  0.405  0.553  0.316
Br  0.905  0.447  0.184
Br  0.405  0.947  0.316
Br  0.905  0.053  0.184
Br  0.595  0.447  0.684
Br  0.095  0.553  0.816
N  0.389  0.250  0.646
N  0.889  0.750  0.854
N  0.611  0.750  0.354
N  0.111  0.250  0.146
N  0.525  0.150  0.496
N  0.025  0.850  0.004
N  0.475  0.650  0.504
N  0.975  0.350  0.996
N  0.475  0.850  0.504
N  0.975  0.150  0.996
N  0.525  0.350  0.496
N  0.025  0.650  0.004
P  0.563  0.250  0.443
P  0.063  0.750  0.057
P  0.437  0.750  0.557
P  0.937  0.250  0.943
P  0.423  0.148  0.594
P  0.923  0.852  0.906
P  0.577  0.648  0.406
P  0.077  0.352  0.094
P  0.577  0.852  0.406
P  0.077  0.148  0.094
P  0.423  0.352  0.594
P  0.923  0.648  0.906

***

(5)
A plane-wave DFT calculation with PBEsol was carried out for crystalline SiP at its relaxed geometry.

Properties
* Fermi-level density of states: 2.01 states/eV per cell
* formation energy without anion corrections: 167 meV per atom
* uncorrected energy: -5.60 eV per atom

a b c (Å): 3.352 4.783 7.056
angles (deg): 73.43 76.26 69.49
Positions (direct):
P  0.365  0.999  0.272
P  0.645  0.947  0.764
P  0.568  0.514  0.350
Si  0.819  0.283  0.079
Si  0.110  0.230  0.549
Si  0.326  0.527  0.820

***

(6)
A plane-wave DFT calculation with PBEsol was carried out for crystalline Ti2ReO2 at its relaxed geometry.

Properties
* Fermi-level density of states: 5.19 states/eV per cell
* formation energy without anion corrections: -1448 meV per atom
* uncorrected energy: -9.54 eV per atom

a b c (Å): 3.253 3.253 6.048
angles (deg): 105.60 105.60 90.00
Positions (direct):
Re  0.000  0.000  0.000
O  0.250  0.750  0.500
O  0.750  0.250  0.500
Ti  0.353  0.353  0.706
Ti  0.647  0.647  0.294

***

(7)
A plane-wave DFT calculation with PBEsol was carried out for crystalline K2ZrP2O8 at its relaxed geometry.

Properties
* Fermi-level density of states: 0.00 states/eV per cell
* formation energy without anion corrections: -2624 meV per atom
* uncorrected energy: -7.62 eV per atom

a b c (Å): 5.201 5.201 8.972
angles (deg): 90.00 90.00 120.00
Positions (direct):
K  0.667  0.333  0.347
K  0.333  0.667  0.653
Zr  0.000  0.000  0.000
P  0.667  0.333  0.805
P  0.333  0.667  0.195
O  0.667  0.333  0.636
O  0.333  0.667  0.364
O  0.731  0.640  0.865
O  0.909  0.269  0.865
O  0.360  0.091  0.865
O  0.269  0.360  0.135
O  0.091  0.731  0.135
O  0.640  0.909  0.135

***

(8)
A plane-wave DFT calculation with PBEsol was carried out for crystalline Be2CdMo at its relaxed geometry.

Properties
* DFT formation energy: 0.5811 eV/atom
* Fermi-level density of states: 2.01 states/eV per cell
* uncorrected energy: -4.66 eV per atom

a b c (Å): 2.794 4.696 4.981
angles (deg): 118.13 106.29 90.00
Positions (direct):
Be  0.748  0.748  0.496
Be  0.252  0.252  0.504
Mo  0.000  0.500  0.000
Cd  0.500  0.000  0.000

***

(9)
A plane-wave DFT calculation with PBEsol was carried out for crystalline CaB4Pt6 at its relaxed geometry.

Properties
* DFT formation energy: -0.4017 eV/atom
* Fermi-level density of states: 3.85 states/eV per cell
* uncorrected energy: -6.95 eV per atom

a b c (Å): 5.287 6.055 6.055
angles (deg): 120.00 90.00 90.00
Positions (direct):
Ca  0.500  0.000  0.000
B  0.569  0.667  0.333
B  0.431  0.333  0.667
B  0.066  0.333  0.667
B  0.934  0.667  0.333
Pt  0.750  0.483  0.967
Pt  0.750  0.483  0.517
Pt  0.750  0.033  0.517
Pt  0.250  0.517  0.033
Pt  0.250  0.517  0.483
Pt  0.250  0.967  0.483

***

(10)
A plane-wave DFT calculation with PBEsol was carried out for crystalline LaCu2Pb at its relaxed geometry.

Properties
* DFT formation energy: -0.1484 eV/atom
* Fermi-level density of states: 3.49 states/eV per cell
* uncorrected energy: -4.65 eV per atom

a b c (Å): 4.261 4.258 6.089
angles (deg): 110.53 90.00 120.02
Positions (direct):
Cu  0.972  0.944  0.917
Cu  0.299  0.597  0.896
La  0.514  0.029  0.543
Pb  0.715  0.429  0.144

***

(11)
A plane-wave DFT calculation with PBEsol was carried out for crystalline TaBi2Au at its relaxed geometry.

Properties
* DFT formation energy: 0.8750 eV/atom
* Fermi-level density of states: 2.77 states/eV per cell
* uncorrected energy: -5.39 eV per atom

a b c (Å): 6.414 6.414 7.766
angles (deg): 114.39 114.39 90.00
Positions (direct):
Au  0.250  0.750  0.500
Au  0.000  0.000  0.000
Bi  0.380  0.875  0.250
Bi  0.870  0.375  0.250
Bi  0.125  0.130  0.750
Bi  0.625  0.620  0.750
Ta  0.750  0.250  0.500
Ta  0.500  0.500  0.000

***

(12)
A plane-wave DFT calculation with PBEsol was carried out for crystalline CaZn2Au2 at its relaxed geometry.

Properties
* DFT formation energy: -0.4908 eV/atom
* Fermi-level density of states: 2.21 states/eV per cell
* uncorrected energy: -3.12 eV per atom

a b c (Å): 3.978 3.978 6.724
angles (deg): 107.20 107.20 90.00
Positions (direct):
Zn  0.250  0.750  0.500
Zn  0.750  0.250  0.500
Au  0.388  0.388  0.777
Au  0.612  0.612  0.223
Ca  0.000  0.000  0.000

***

(13)
A plane-wave DFT calculation with PBEsol was carried out for crystalline FeSiSe2 at its relaxed geometry.

Properties
* Fermi-level density of states: 0.34 states/eV per cell
* formation energy without anion corrections: -90 meV per atom
* uncorrected energy: -5.69 eV per atom

a b c (Å): 3.413 4.053 5.966
angles (deg): 101.01 90.00 114.90
Positions (direct):
Fe  0.732  0.464  0.348
Se  0.058  0.115  0.106
Se  0.265  0.530  0.656
Si  0.445  0.890  0.390

***

(14)
A plane-wave DFT calculation with PBEsol was carried out for crystalline BiH2Rh at its relaxed geometry.

Properties
* Fermi-level density of states: 1.22 states/eV per cell
* uncorrected energy: -4.68 eV per atom

a b c (Å): 4.462 4.462 5.922
angles (deg): 112.13 112.13 90.00
Positions (direct):
H  0.601  0.875  0.250
H  0.649  0.375  0.250
H  0.125  0.351  0.750
H  0.625  0.399  0.750
Rh  0.750  0.250  0.500
Rh  0.500  0.500  0.000
Bi  0.250  0.750  0.500
Bi  0.000  0.000  0.000

***

(15)
A plane-wave DFT calculation with PBEsol was carried out for crystalline Na5CuHO4 at its relaxed geometry.

Properties
* Fermi-level density of states: 6.24 states/eV per cell
* uncorrected energy: -4.40 eV per atom

a b c (Å): 9.769 9.933 11.794
angles (deg): 90.00 90.00 90.00
Site moments in Bohr magnetons follow the coordinates.
Positions (direct):
Na  0.412  0.004  0.216  0.00
Na  0.088  0.004  0.216  0.00
Na  0.932  0.925  0.412  0.00
Na  0.568  0.925  0.412  0.00
Na  0.250  0.915  0.442  0.00
Na  0.750  0.884  0.977  0.00
Na  0.434  0.870  0.985  0.00
Na  0.066  0.870  0.985  0.00
Na  0.422  0.783  0.680  0.00
Na  0.078  0.783  0.680  0.00
Na  0.922  0.717  0.180  0.00
Na  0.578  0.717  0.180  0.00
Na  0.934  0.630  0.485  0.00
Na  0.566  0.630  0.485  0.00
Na  0.250  0.616  0.477  0.00
Na  0.750  0.585  0.942  0.00
Na  0.432  0.575  0.912  0.00
Na  0.068  0.575  0.912  0.00
Na  0.912  0.496  0.716  0.00
Na  0.588  0.496  0.716  0.00
Na  0.412  0.504  0.284  0.00
Na  0.088  0.504  0.284  0.00
Na  0.932  0.425  0.088  0.00
Na  0.568  0.425  0.088  0.00
Na  0.250  0.415  0.058  0.00
Na  0.750  0.384  0.523  0.00
Na  0.434  0.370  0.515  0.00
Na  0.066  0.370  0.515  0.00
Na  0.422  0.283  0.820  0.00
Na  0.078  0.283  0.820  0.00
Na  0.922  0.217  0.320  0.00
Na  0.578  0.217  0.320  0.00
Na  0.934  0.130  0.015  0.00
Na  0.566  0.130  0.015  0.00
Na  0.250  0.116  0.023  0.00
Na  0.750  0.085  0.558  0.00
Na  0.068  0.075  0.588  0.00
Na  0.432  0.075  0.588  0.00
Na  0.912  0.996  0.784  0.00
Na  0.588  0.996  0.784  0.00
Cu  0.750  0.986  0.210  0.50
Cu  0.750  0.791  0.616  0.49
Cu  0.250  0.709  0.116  0.49
Cu  0.250  0.514  0.710  0.50
Cu  0.750  0.486  0.290  0.50
Cu  0.750  0.291  0.884  0.49
Cu  0.250  0.209  0.384  0.49
Cu  0.250  0.014  0.790  0.50
H  0.368  0.753  0.292  0.00
H  0.132  0.753  0.292  0.00
H  0.868  0.747  0.792  0.00
H  0.632  0.747  0.792  0.00
H  0.368  0.253  0.208  0.00
H  0.132  0.253  0.208  0.00
H  0.868  0.247  0.708  0.00
H  0.632  0.247  0.708  0.00
O  0.250  0.940  0.647  0.13
O  0.601  0.934  0.119  0.16
O  0.899  0.934  0.119  0.16
O  0.601  0.909  0.604  0.15
O  0.899  0.909  0.604  0.15
O  0.250  0.894  0.115  0.13
O  0.923  0.756  0.862  0.00
O  0.577  0.756  0.862  0.00
O  0.423  0.744  0.362  0.00
O  0.077  0.744  0.362  0.00
O  0.750  0.606  0.615  0.13
O  0.399  0.591  0.104  0.15
O  0.101  0.591  0.104  0.15
O  0.399  0.566  0.619  0.16
O  0.101  0.566  0.619  0.16
O  0.750  0.560  0.147  0.13
O  0.250  0.440  0.853  0.13
O  0.899  0.434  0.381  0.16
O  0.601  0.434  0.381  0.16
O  0.899  0.409  0.896  0.15
O  0.601  0.409  0.896  0.15
O  0.250  0.394  0.385  0.13
O  0.923  0.256  0.638  0.00
O  0.577  0.256  0.638  0.00
O  0.423  0.244  0.138  0.00
O  0.077  0.244  0.138  0.00
O  0.750  0.106  0.885  0.13
O  0.101  0.091  0.396  0.15
O  0.399  0.091  0.396  0.15
O  0.101  0.066  0.881  0.16
O  0.399  0.066  0.881  0.16
O  0.750  0.060  0.353  0.13

***

(16)
A plane-wave DFT calculation with PBEsol was carried out for crystalline Sr2CrSbO6 at its relaxed geometry.

Properties
* Fermi-level density of states: 2.05 states/eV per cell
* formation energy without anion corrections: -2274 meV per atom
* uncorrected energy: -7.27 eV per atom

a b c (Å): 5.564 5.564 5.564
angles (deg): 60.00 60.00 60.00
Site moments in Bohr magnetons follow the coordinates.
Positions (direct):
Sb  0.500  0.500  0.500  0.00
Cr  0.000  0.000  0.000  2.71
O  0.249  0.751  0.249  0.01
O  0.249  0.249  0.751  0.01
O  0.751  0.751  0.249  0.01
O  0.249  0.751  0.751  0.01
O  0.751  0.249  0.751  0.01
O  0.751  0.249  0.249  0.01
Sr  0.250  0.250  0.250  0.01
Sr  0.750  0.750  0.750  0.01

***

(17)
A plane-wave DFT calculation with PBEsol was carried out for crystalline Sr3Al2Ge2 at its relaxed geometry.

Properties
* DFT formation energy: -0.5209 eV/atom
* Fermi-level density of states: 2.08 states/eV per cell
* uncorrected energy: -3.89 eV per atom

a b c (Å): 4.204 4.780 10.088
angles (deg): 103.70 102.03 90.00
Positions (direct):
Sr  0.815  0.815  0.630
Sr  0.500  0.000  0.000
Sr  0.185  0.185  0.370
Ge  0.359  0.359  0.718
Ge  0.641  0.641  0.282
Al  0.933  0.433  0.867
Al  0.067  0.567  0.133

***

(18)
A plane-wave DFT calculation with PBEsol was carried out for crystalline ZnPb2SeS at its relaxed geometry.

Properties
* Fermi-level density of states: 1.43 states/eV per cell
* formation energy without anion corrections: 338 meV per atom
* uncorrected energy: -3.22 eV per atom

a b c (Å): 4.603 5.684 5.684
angles (deg): 90.00 90.00 90.00
Positions (direct):
Pb  0.000  0.000  0.500
Pb  0.000  0.500  0.000
Zn  0.500  0.000  0.000
S  0.500  0.500  0.500
Se  0.000  0.000  0.000

***

(19)
A plane-wave DFT calculation with PBEsol was carried out for crystalline ZrTeMo2 at its relaxed geometry.

Properties
* Fermi-level density of states: 4.15 states/eV per cell
* formation energy without anion corrections: 275 meV per atom
* uncorrected energy: -8.76 eV per atom

a b c (Å): 4.656 4.656 4.656
angles (deg): 60.00 60.00 60.00
Positions (direct):
Mo  0.000  0.000  0.000
Mo  0.250  0.250  0.250
Te  0.500  0.500  0.500
Zr  0.750  0.750  0.750

***

(20)
A plane-wave DFT calculation with PBEsol was carried out for crystalline LaMgRh at its relaxed geometry.

Properties
* DFT formation energy: -0.5612 eV/atom
* Fermi-level density of states: 5.96 states/eV per cell
* uncorrected energy: -5.63 eV per atom

a b c (Å): 4.142 7.202 8.758
angles (deg): 90.00 90.00 90.00
Positions (direct):
Mg  0.250  0.134  0.945
Mg  0.750  0.866  0.055
Mg  0.750  0.366  0.445
Mg  0.250  0.634  0.555
Rh  0.750  0.751  0.369
Rh  0.750  0.251  0.131
Rh  0.250  0.249  0.631
Rh  0.250  0.749  0.869
La  0.750  0.966  0.681
La  0.250  0.534  0.181
La  0.250  0.034  0.319
La  0.750  0.466  0.819